## SmDy4Y3Se8 (PBE-GGA)

Data for a relaxed structure of SmDy4Y3Se8.

Lattice parameters (Å, degrees): 8.188 8.188 8.188 59.96 59.96 59.96
Fractional positions:
Sm 0.000 0.000 0.000
Dy 0.000 0.000 0.500
Dy 0.000 0.500 0.000
Dy 0.500 0.000 0.000
Dy 0.500 0.500 0.500
Y 0.000 0.500 0.500
Y 0.500 0.000 0.500
Y 0.500 0.500 0.000
Se 0.250 0.250 0.250
Se 0.252 0.747 0.747
Se 0.253 0.253 0.748
Se 0.253 0.748 0.253
Se 0.747 0.252 0.747
Se 0.747 0.747 0.252
Se 0.748 0.253 0.253
Se 0.750 0.750 0.750

Summary:
For the formation energy without anion corrections, the calculation gives -40.53 kcal/mol of atoms. The calculation puts the total energy at -6.1575 eV/atom. As for the space-group type: R-3m, No. 166.